No. 1
## BaCo2N2 (GGA-PBE)

Data for BaCo2N2 after structural relaxation.

Cell: 6.277 6.277 6.277 Å, 122.00 122.00 86.57°
Element x y z (fractional)
Ba  0.250  0.250  0.000
Ba  0.750  0.750  0.000
Co  0.132  0.632  0.765
Co  0.368  0.132  0.500
Co  0.632  0.868  0.500
Co  0.868  0.368  0.235
N  0.164  0.336  0.500
N  0.336  0.836  0.173
N  0.664  0.164  0.827
N  0.836  0.664  0.500

ΔE_f (raw) in eV/atom: -0.37
Mass density in Mg/m³: 5.56
E in eV/atom: -6.93
Magnetic moment in μB per cell: 0.000
Space-group type: No. 140

***

No. 2
## LaNd4S4 (GGA-PBE)

Data for LaNd4S4 after structural relaxation.

Cell: 7.048 7.048 7.048 Å, 99.56 99.56 131.90°
Element x y z (fractional)
La  0.000  0.000  0.000
Nd  0.195  0.605  0.799
Nd  0.395  0.195  0.590
Nd  0.605  0.805  0.410
Nd  0.805  0.395  0.201
S  0.101  0.303  0.404
S  0.303  0.899  0.203
S  0.697  0.101  0.797
S  0.899  0.697  0.596

ΔE_f (raw) in eV/atom: -1.80
Mass density in Mg/m³: 5.89
E in eV/atom: -6.30
Magnetic moment in μB per cell: 0.000
Space-group type: No. 87

***

No. 3
## RuO4 (GGA-PBE)

Data for RuO4 after structural relaxation.

Cell: 3.790 3.790 3.790 Å, 90.00 90.00 90.00°
Element x y z (fractional)
Ru  0.000  0.000  0.000
O  0.000  0.000  0.500
O  0.000  0.500  0.000
O  0.500  0.000  0.000
O  0.500  0.500  0.500

ΔE_f (raw) in eV/atom: 0.10
Mass density in Mg/m³: 5.04
E in eV/atom: -5.72
Magnetic moment in μB per cell: 1.492
Space-group type: No. 221

***

No. 4
## NbTcO2 (GGA-PBE)

Data for NbTcO2 after structural relaxation.

Cell: 7.087 7.087 7.087 Å, 22.75 22.75 22.75°
Element x y z (fractional)
Nb  0.000  0.000  0.000
Tc  0.500  0.500  0.500
O  0.403  0.403  0.403
O  0.597  0.597  0.597

ΔE_f (raw) in eV/atom: -1.31
Mass density in Mg/m³: 7.92
E in eV/atom: -8.90
Magnetic moment in μB per cell: 0.000
Space-group type: No. 166

***

No. 5
## Pr8Ge3RuBr4 (GGA-PBE)

Data for Pr8Ge3RuBr4 after structural relaxation.

Cell: 8.946 8.946 8.946 Å, 57.80 57.80 57.80°
Element x y z (fractional)
Pr  0.239  0.239  0.239
Pr  0.249  0.728  0.728
Pr  0.272  0.272  0.751
Pr  0.272  0.751  0.272
Pr  0.728  0.249  0.728
Pr  0.728  0.728  0.249
Pr  0.751  0.272  0.272
Pr  0.761  0.761  0.761
Ge  0.000  0.000  0.500
Ge  0.000  0.500  0.000
Ge  0.500  0.000  0.000
Ru  0.500  0.500  0.500
Br  0.000  0.000  0.000
Br  0.000  0.500  0.500
Br  0.500  0.000  0.500
Br  0.500  0.500  0.000

ΔE_f (raw) in eV/atom: -1.05
Mass density in Mg/m³: 6.10
E in eV/atom: -5.30
Magnetic moment in μB per cell: 0.000
Space-group type: No. 166

***

No. 6
## NdDy3Sc (GGA-PBE)

Data for NdDy3Sc after structural relaxation.

Cell: 10.962 10.962 6.519 Å, 93.62 93.62 52.80°
Element x y z (fractional)
Nd  0.105  0.895  0.750
Nd  0.248  0.752  0.250
Nd  0.752  0.248  0.750
Nd  0.895  0.105  0.250
Dy  0.048  0.252  0.595
Dy  0.089  0.582  0.917
Dy  0.252  0.048  0.095
Dy  0.368  0.479  0.601
Dy  0.418  0.911  0.583
Dy  0.479  0.368  0.101
Dy  0.521  0.632  0.899
Dy  0.582  0.089  0.417
Dy  0.632  0.521  0.399
Dy  0.748  0.952  0.905
Dy  0.911  0.418  0.083
Dy  0.952  0.748  0.405
Sc  0.216  0.351  0.321
Sc  0.351  0.216  0.821
Sc  0.649  0.784  0.179
Sc  0.784  0.649  0.679

Mass density in Mg/m³: 7.22
E in eV/atom: -4.91
Energy of formation from the pure elements in meV/atom: 76
Magnetic moment in μB per cell: 0.000
Space-group type: No. 15

***

No. 7
## KCd3GaAu (GGA-PBE)

Data for KCd3GaAu after structural relaxation.

Cell: 7.921 7.921 6.199 Å, 90.00 90.00 120.39°
Element x y z (fractional)
K  0.222  0.778  0.750
K  0.778  0.222  0.250
Cd  0.196  0.196  0.000
Cd  0.196  0.196  0.500
Cd  0.340  0.660  0.250
Cd  0.660  0.340  0.750
Cd  0.804  0.804  0.000
Cd  0.804  0.804  0.500
Ga  0.459  0.541  0.750
Ga  0.541  0.459  0.250
Au  0.140  0.860  0.250
Au  0.860  0.140  0.750

Mass density in Mg/m³: 6.36
E in eV/atom: -1.74
Energy of formation from the pure elements in meV/atom: -48
Magnetic moment in μB per cell: 0.000
Space-group type: No. 63

***

No. 8
## CdInTe2 (GGA-PBE)

Data for CdInTe2 after structural relaxation.

Cell: 6.601 6.601 6.044 Å, 90.01 90.01 27.33°
Element x y z (fractional)
Cd  0.000  0.000  0.000
In  0.740  0.740  0.503
Te  0.234  0.234  0.003
Te  0.484  0.484  0.501

ΔE_f (raw) in eV/atom: -0.07
Mass density in Mg/m³: 6.62
E in eV/atom: -2.56
Magnetic moment in μB per cell: 0.000
Space-group type: No. 8